{"formula": "Tb7TeI12", "functional": "PBE", "state": "relaxed", "e_form_raw_ev_per_atom": -1.23, "dos_at_fermi_per_ev_atom": 0.232, "lattice_angstrom": [[-6.6099, -7.1010, -1.2707], [8.3404, -4.1223, 3.0288], [-3.2198, 5.9095, 7.1021]], "species": ["Tb", "Tb", "Tb", "Tb", "Tb", "Tb", "Tb", "I", "I", "I", "I", "I", "I", "I", "I", "I", "I", "I", "I", "Te"], "frac_coords": [[0.5000, 0.5000, 0.5000], [0.3253, 0.1144, 0.0429], [0.6747, 0.8856, 0.9571], [0.1144, 0.0429, 0.3253], [0.8856, 0.9571, 0.6747], [0.9571, 0.6747, 0.8856], [0.0429, 0.3253, 0.1144], [0.6882, 0.2254, 0.0768], [0.3118, 0.7746, 0.9232], [0.8442, 0.6070, 0.5260], [0.3930, 0.4740, 0.1558], [0.0768, 0.6882, 0.2254], [0.1558, 0.3930, 0.4740], [0.5260, 0.8442, 0.6070], [0.7746, 0.9232, 0.3118], [0.9232, 0.3118, 0.7746], [0.2254, 0.0768, 0.6882], [0.4740, 0.1558, 0.3930], [0.6070, 0.5260, 0.8442], [0.0000, 0.0000, 0.0000]]}